1.
The following is a DFT calculation (PBE) of a geometry-optimized CaTeAu structure.

Summary:
The value obtained for the energy above the most stable polymorph in this dataset is 202.7 meV/atom. The energy relative to the elements, uncorrected is -2.16 eV per formula unit.

abc: 5.4986 5.4986 5.4986
angles: 135.96 135.96 64.03
Atoms (fractional coordinates):
Ca (0.0000, 0.0000, 0.0000)
Te (0.6480, 0.6480, 0.0000)
Au (0.3361, 0.3361, 0.0000)

=====

2.
The following is a DFT calculation (PBE) of a geometry-optimized RbBe2InI6 structure.

Summary:
The energy relative to the elements, uncorrected is -6.92 eV per formula unit.

abc: 8.7636 8.7636 14.5855
angles: 98.41 98.41 106.29
Atoms (fractional coordinates):
Rb (0.1578, 0.8422, 0.7500)
Rb (0.8422, 0.1578, 0.2500)
Be (0.1071, 0.3548, 0.6927)
Be (0.3548, 0.1071, 0.1927)
Be (0.6452, 0.8929, 0.8073)
Be (0.8929, 0.6452, 0.3073)
In (0.4278, 0.5722, 0.2500)
In (0.5722, 0.4278, 0.7500)
I (0.1097, 0.5762, 0.3794)
I (0.1722, 0.2044, 0.1066)
I (0.2044, 0.1722, 0.6066)
I (0.2382, 0.4768, 0.8464)
I (0.4238, 0.8903, 0.1206)
I (0.4768, 0.2382, 0.3464)
I (0.5232, 0.7618, 0.6536)
I (0.5762, 0.1097, 0.8794)
I (0.7618, 0.5232, 0.1536)
I (0.7956, 0.8278, 0.3934)
I (0.8278, 0.7956, 0.8934)
I (0.8903, 0.4238, 0.6206)

=====

3.
The following is a DFT calculation (PBE) of a geometry-optimized LiRuPb3 structure.

Summary:
The value obtained for the energy above the most stable polymorph in this dataset is 0.0 meV/atom. As for the formation energy: 0.303 eV/atom.

abc: 5.3144 5.3144 5.3144
angles: 90.00 90.00 90.00
Atoms (fractional coordinates):
Li (0.0000, 0.0000, 0.0000)
Ru (0.5000, 0.5000, 0.5000)
Pb (0.0000, 0.5000, 0.5000)
Pb (0.5000, 0.0000, 0.5000)
Pb (0.5000, 0.5000, 0.0000)

=====

4.
The following is a DFT calculation (PBE) of a geometry-optimized Cu7Pt2Au2 structure.

Summary:
The value obtained for the energy above the most stable polymorph in this dataset is 0.0 meV/atom. As for the formation energy: -0.008 eV/atom.

abc: 6.0951 6.0951 4.6700
angles: 108.91 108.91 88.52
Atoms (fractional coordinates):
Cu (0.0000, 0.0000, 0.0000)
Cu (0.0684, 0.5888, 0.8318)
Cu (0.2518, 0.2518, 0.5471)
Cu (0.4112, 0.9316, 0.1682)
Cu (0.5888, 0.0684, 0.8318)
Cu (0.7482, 0.7482, 0.4529)
Cu (0.9316, 0.4112, 0.1682)
Pt (0.1811, 0.8189, 0.5000)
Pt (0.8189, 0.1811, 0.5000)
Au (0.3970, 0.3970, 0.1715)
Au (0.6030, 0.6030, 0.8285)

=====

5.
The following is a DFT calculation (PBE) of a geometry-optimized VCr6W structure.

Summary:
As for the formation energy: 0.284 eV/atom.

abc: 5.1593 5.1593 5.1593
angles: 110.44 110.44 110.44
Atoms (fractional coordinates):
V (0.0000, 0.0000, 0.0000)
Cr (0.2427, 0.7501, 0.7501)
Cr (0.2499, 0.2499, 0.7573)
Cr (0.2499, 0.7573, 0.2499)
Cr (0.7501, 0.2427, 0.7501)
Cr (0.7501, 0.7501, 0.2427)
Cr (0.7573, 0.2499, 0.2499)
W (0.5000, 0.5000, 0.5000)

=====

6.
The following is a DFT calculation (PBE) of a geometry-optimized TaHg2Os structure.

Summary:
The value obtained for the energy above the most stable polymorph in this dataset is 487.4 meV/atom. As for the formation energy: 0.727 eV/atom.

abc: 2.9853 4.3825 5.5766
angles: 90.00 90.00 90.00
Atoms (fractional coordinates):
Ta (0.0000, 0.0000, 0.0000)
Hg (0.5000, 0.5000, 0.2532)
Hg (0.5000, 0.5000, 0.7468)
Os (0.0000, 0.0000, 0.5000)

=====

7.
The following is a DFT calculation (PBE) of a geometry-optimized LaPr2Si structure.

Summary:
The value obtained for the energy above the most stable polymorph in this dataset is 353.3 meV/atom. The energy relative to the elements, uncorrected is -0.03 eV per formula unit.

abc: 10.9010 10.9010 10.9010
angles: 20.93 20.93 20.93
Atoms (fractional coordinates):
La (0.0000, 0.0000, 0.0000)
Pr (0.1116, 0.1116, 0.1116)
Pr (0.8884, 0.8884, 0.8884)
Si (0.5000, 0.5000, 0.5000)